{"formula": "La5Pm3Bi8", "functional": "PBE", "state": "optimized geometry", "formation_enthalpy_0k_ev_per_atom": -1.012, "space_group": "R-3m (166)", "final_energy_ev_per_atom": -5.383, "dos_at_fermi_per_ev_cell": 2.79, "lattice": [[4.660, 2.690, 7.605], [-4.660, 2.690, 7.605], [0.000, -5.381, 7.605]], "species": ["La", "La", "La", "La", "La", "Pm", "Pm", "Pm", "Bi", "Bi", "Bi", "Bi", "Bi", "Bi", "Bi", "Bi"], "fractional_positions": [[0.000, 0.000, 0.000], [0.000, 0.500, 0.500], [0.500, 0.000, 0.500], [0.500, 0.500, 0.000], [0.500, 0.500, 0.500], [0.000, 0.000, 0.500], [0.000, 0.500, 0.000], [0.500, 0.000, 0.000], [0.246, 0.750, 0.750], [0.248, 0.248, 0.248], [0.250, 0.250, 0.754], [0.250, 0.754, 0.250], [0.750, 0.246, 0.750], [0.750, 0.750, 0.246], [0.752, 0.752, 0.752], [0.754, 0.250, 0.250]]}

{"formula": "La2Pm3Bi2", "functional": "PBE", "state": "optimized geometry", "formation_enthalpy_0k_ev_per_atom": -0.432, "space_group": "Immm (71)", "final_energy_ev_per_atom": -4.985, "dos_at_fermi_per_ev_cell": 6.78, "lattice": [[-2.164, 2.656, 10.334], [2.164, -2.656, 10.334], [2.164, 2.656, -10.334]], "species": ["La", "La", "Pm", "Pm", "Pm", "Bi", "Bi"], "fractional_positions": [[0.104, 0.104, 0.000], [0.896, 0.896, 0.000], [0.249, 0.749, 0.500], [0.500, 0.000, 0.500], [0.751, 0.251, 0.500], [0.373, 0.373, 0.000], [0.627, 0.627, 0.000]]}

{"formula": "LaPm2PrBi4", "functional": "PBE", "state": "optimized geometry", "formation_enthalpy_0k_ev_per_atom": -0.974, "space_group": "P2/m (10)", "final_energy_ev_per_atom": -5.316, "dos_at_fermi_per_ev_cell": 1.07, "lattice": [[8.010, 0.000, 0.000], [0.000, 4.631, 0.000], [-2.672, 0.000, 7.556]], "species": ["La", "Pm", "Pm", "Pr", "Bi", "Bi", "Bi", "Bi"], "fractional_positions": [[0.000, 0.000, 0.000], [0.500, 0.000, 0.500], [0.500, 0.500, 0.000], [0.000, 0.500, 0.500], [0.255, 0.000, 0.751], [0.255, 0.500, 0.253], [0.745, 0.000, 0.249], [0.745, 0.500, 0.747]]}

{"formula": "La2PmPrBi4", "functional": "PBE", "state": "optimized geometry", "formation_enthalpy_0k_ev_per_atom": -1.004, "space_group": "P2/m (10)", "final_energy_ev_per_atom": -5.367, "dos_at_fermi_per_ev_cell": 0.99, "lattice": [[8.064, 0.000, 0.000], [0.000, 4.662, 0.000], [-2.690, 0.000, 7.607]], "species": ["La", "La", "Pm", "Pr", "Bi", "Bi", "Bi", "Bi"], "fractional_positions": [[0.000, 0.000, 0.000], [0.000, 0.500, 0.500], [0.500, 0.000, 0.500], [0.500, 0.500, 0.000], [0.254, 0.000, 0.749], [0.255, 0.500, 0.253], [0.745, 0.500, 0.747], [0.746, 0.000, 0.251]]}

{"formula": "La2PmPuBi4", "functional": "PBE", "state": "optimized geometry", "formation_enthalpy_0k_ev_per_atom": -0.834, "space_group": "P2/m (10)", "final_energy_ev_per_atom": -6.391, "dos_at_fermi_per_ev_cell": 17.77, "lattice": [[8.019, 0.000, 0.000], [0.000, 4.642, 0.000], [-2.677, 0.000, 7.569]], "species": ["La", "La", "Pm", "Pu", "Bi", "Bi", "Bi", "Bi"], "fractional_positions": [[0.000, 0.000, 0.000], [0.000, 0.500, 0.500], [0.500, 0.000, 0.500], [0.500, 0.500, 0.000], [0.258, 0.500, 0.251], [0.259, 0.000, 0.755], [0.741, 0.000, 0.245], [0.742, 0.500, 0.749]]}

{"formula": "LaPm2PuBi4", "functional": "PBE", "state": "optimized geometry", "formation_enthalpy_0k_ev_per_atom": -0.806, "space_group": "P2/m (10)", "final_energy_ev_per_atom": -6.341, "dos_at_fermi_per_ev_cell": 18.49, "lattice": [[7.970, 0.000, 0.000], [0.000, 4.607, 0.000], [-2.656, 0.000, 7.521]], "species": ["La", "Pm", "Pm", "Pu", "Bi", "Bi", "Bi", "Bi"], "fractional_positions": [[0.000, 0.000, 0.000], [0.000, 0.500, 0.500], [0.500, 0.000, 0.500], [0.500, 0.500, 0.000], [0.255, 0.000, 0.750], [0.255, 0.500, 0.253], [0.745, 0.000, 0.250], [0.745, 0.500, 0.747]]}